Entry 1:
# CaPr2Nd6 | Alexandria via LeMat-Bulk | PBE | relaxed
# E_form: 0.072 eV/atom
# Energy relative to the lowest polymorph listed for this composition: 0.000 eV per atom
data_CaPr2Nd6
_chemical_formula_sum 'Ca2 Pr4 Nd12'
_cell_length_a 10.0366
_cell_length_b 6.3034
_cell_length_c 12.6610
_cell_angle_alpha 90.00
_cell_angle_beta 125.78
_cell_angle_gamma 90.00
_symmetry_space_group_name_H-M 'P 1 21/c 1'
_symmetry_Int_Tables_number 14
_symmetry_space_group_name_Hall '-P 2ybc'
loop_
_atom_site_label
_atom_site_fract_x
_atom_site_fract_y
_atom_site_fract_z
Ca1 0.0000 0.0000 0.0000
Pr1 0.3425 0.0887 0.3392
Nd1 0.1183 0.5965 0.2815
Nd2 0.2199 0.5308 0.0485
Nd3 0.4492 0.0674 0.1102



Entry 2:
# CaPr3Nd5 | Alexandria via LeMat-Bulk | PBE | relaxed
# E_form: 0.077 eV/atom
data_CaPr3Nd5
_chemical_formula_sum 'Ca2 Pr6 Nd10'
_cell_length_a 10.1856
_cell_length_b 10.1856
_cell_length_c 7.1990
_cell_angle_alpha 90.00
_cell_angle_beta 90.00
_cell_angle_gamma 120.00
_symmetry_space_group_name_H-M 'P 63/m c m'
_symmetry_Int_Tables_number 193
_symmetry_space_group_name_Hall '-P 6c 2'
loop_
_atom_site_label
_atom_site_fract_x
_atom_site_fract_y
_atom_site_fract_z
Ca1 0.0000 0.0000 0.0000
Pr1 0.0000 0.3571 0.2500
Nd1 0.0000 0.3120 0.7500
Nd2 0.3333 0.6667 0.0000



- Look up the E_form of the second one.
  0.077 eV/atom



- Among the records above, which one has the lowest E_form?
  CaPr2Nd6



- What is the formula in the second record?
  CaPr3Nd5



- What is the E_form in the second record?
  0.077 eV/atom